VASP calculation (PBE-GGA) on a relaxed Pu3Ga2Si3 crystal.

abc: 5.768 5.768 14.773
angles: 90.00 90.00 137.99
Sites, in units of the cell vectors:
Pu 0.061 0.939 0.750
Pu 0.368 0.632 0.601
Pu 0.368 0.632 0.899
Pu 0.632 0.368 0.101
Pu 0.632 0.368 0.399
Pu 0.939 0.061 0.250
Ga 0.343 0.657 0.115
Ga 0.343 0.657 0.385
Ga 0.657 0.343 0.615
Ga 0.657 0.343 0.885
Si 0.087 0.913 0.546
Si 0.087 0.913 0.954
Si 0.209 0.791 0.250
Si 0.791 0.209 0.750
Si 0.913 0.087 0.046
Si 0.913 0.087 0.454

E_tot, eV/f.u.: -68.10
Total magnetic moment, μB per atom: 2.133
ΔE_f (raw), eV per atom: -0.347
Density, g/cm3: 9.6

***

VASP calculation (PBE-GGA) on a relaxed La2NdSb2 crystal.

abc: 4.603 4.603 8.231
angles: 106.23 106.23 90.04
Sites, in units of the cell vectors:
La 0.246 0.754 0.000
La 0.754 0.246 0.000
Nd 0.000 0.000 0.500
Sb 0.406 0.406 0.304
Sb 0.594 0.594 0.696

E_tot, eV/f.u.: -26.36
Total magnetic moment, μB per atom: 0.000
ΔE_f (raw), eV per atom: -0.698
Density, g/cm3: 6.9

***

VASP calculation (PBE-GGA) on a relaxed Nb8Sn2B crystal.

abc: 8.217 8.217 5.747
angles: 107.14 107.14 32.70
Sites, in units of the cell vectors:
Nb 0.002 0.002 0.239
Nb 0.218 0.218 0.109
Nb 0.370 0.370 0.748
Nb 0.414 0.414 0.287
Nb 0.586 0.586 0.713
Nb 0.630 0.630 0.252
Nb 0.782 0.782 0.891
Nb 0.998 0.998 0.761
Sn 0.175 0.175 0.593
Sn 0.825 0.825 0.407
B 0.500 0.500 0.000

E_tot, eV/f.u.: -95.84
Energy relative to the elements, eV per atom: -0.055
Total magnetic moment, μB per atom: 0.000
Density, g/cm3: 8.3

***

VASP calculation (PBE-GGA) on a relaxed Rh2PbAu crystal.

abc: 3.323 3.323 6.312
angles: 90.00 90.00 90.00
Sites, in units of the cell vectors:
Rh 0.000 0.000 0.250
Rh 0.000 0.000 0.750
Pb 0.500 0.500 0.000
Au 0.500 0.500 0.500

E_tot, eV/f.u.: -21.24
Energy relative to the elements, eV per atom: 0.112
Total magnetic moment, μB per atom: 0.000
Density, g/cm3: 14.5

***

VASP calculation (PBE-GGA) on a relaxed Al2TlGaAu crystal.

abc: 4.869 4.869 5.439
angles: 90.00 90.00 90.00
Sites, in units of the cell vectors:
Al 0.000 0.500 0.000
Al 0.500 0.000 0.000
Tl 0.000 0.000 0.500
Ga 0.000 0.000 0.000
Au 0.500 0.500 0.500

E_tot, eV/f.u.: -13.54
Energy relative to the elements, eV per atom: 0.524
Total magnetic moment, μB per atom: 0.000
Density, g/cm3: 6.8